1.
Entry from Alexandria via LeMat-Bulk: a geometry-optimized PmSm14Mg structure (GGA-PBE).

```
data_PmSm14Mg
_cell_length_a 10.213
_cell_length_b 10.185
_cell_length_c 10.184
_cell_angle_alpha 90.00
_cell_angle_beta 90.00
_cell_angle_gamma 90.00
_symmetry_space_group_name_H-M 'A m m 2'
_symmetry_Int_Tables_number 38
_symmetry_space_group_name_Hall 'A 2 -2'
loop_
_atom_site_label
_atom_site_fract_x
_atom_site_fract_y
_atom_site_fract_z
Pm1 0.000 0.000 0.000
Sm1 0.000 0.250 0.250
Sm2 0.248 0.000 0.250
Sm3 0.248 0.000 0.750
Sm4 0.248 0.250 0.000
Sm5 0.500 0.000 0.000
Sm6 0.500 0.000 0.500
Sm7 0.500 0.250 0.250
Mg1 0.000 0.000 0.499
```

Results
The value obtained for the uncorrected energy is -0.1659 Ha/atom. The calculation puts the total magnetization at 0.0 μB per cell. As for the formation energy: 0.012 eV per atom.



2.
Entry from Alexandria via LeMat-Bulk: a geometry-optimized ScCuBr2 structure (GGA-PBE).

```
data_ScCuBr2
_cell_length_a 3.520
_cell_length_b 6.366
_cell_length_c 9.063
_cell_angle_alpha 90.00
_cell_angle_beta 90.00
_cell_angle_gamma 90.00
_symmetry_space_group_name_H-M 'I m m 2'
_symmetry_Int_Tables_number 44
_symmetry_space_group_name_Hall 'I 2 -2'
loop_
_atom_site_label
_atom_site_fract_x
_atom_site_fract_y
_atom_site_fract_z
Sc1 0.000 0.000 0.000
Cu1 0.000 0.500 0.716
Br1 0.000 0.000 0.431
Br2 0.000 0.500 0.276
```

Results
The value obtained for the uncorrected energy is -0.1448 Ha/atom. The calculation puts the total magnetization at 0.0 μB per cell. The energy above the most stable polymorph in this dataset is 0.991 eV per formula unit. The calculation puts the raw formation energy at -0.50 eV per atom.



3.
Entry from Alexandria via LeMat-Bulk: a geometry-optimized SnBi2Au2 structure (GGA-PBE).

```
data_SnBi2Au2
_cell_length_a 9.357
_cell_length_b 7.639
_cell_length_c 7.485
_cell_angle_alpha 90.00
_cell_angle_beta 98.01
_cell_angle_gamma 90.00
_symmetry_space_group_name_H-M 'P 1 21/c 1'
_symmetry_Int_Tables_number 14
_symmetry_space_group_name_Hall '-P 2ybc'
loop_
_atom_site_label
_atom_site_fract_x
_atom_site_fract_y
_atom_site_fract_z
Sn1 0.134 0.150 0.058
Bi1 0.216 0.583 0.135
Bi2 0.456 0.226 0.966
Au1 0.041 0.625 0.776
Au2 0.350 0.558 0.776
```

Results
The value obtained for the uncorrected energy is -0.1359 Ha/atom. The calculation puts the total magnetization at 0.0 μB per cell. The energy above the most stable polymorph in this dataset is 0.004 eV per formula unit. As for the formation energy: -0.035 eV per atom.



4.
Entry from Alexandria via LeMat-Bulk: a geometry-optimized SmHo6Tm2 structure (GGA-PBE).

```
data_SmHo6Tm2
_cell_length_a 6.9006
_cell_length_b 6.9006
_cell_length_c 22.6133
_cell_angle_alpha 90.00
_cell_angle_beta 90.00
_cell_angle_gamma 120.00
_symmetry_space_group_name_H-M 'R 3 m'
_symmetry_Int_Tables_number 160
_symmetry_space_group_name_Hall 'R 3 -2"'
loop_
_atom_site_label
_atom_site_fract_x
_atom_site_fract_y
_atom_site_fract_z
Sm1 0.0000 0.0000 0.0000
Ho1 0.0064 0.5032 0.2223
Ho2 0.1695 0.3390 0.7761
Tm1 0.0000 0.0000 0.2466
Tm2 0.0000 0.0000 0.4125
```

Results
The value obtained for the uncorrected energy is -0.1533 Ha/atom. The calculation puts the total magnetization at 0.0 μB per cell. The energy above the most stable polymorph in this dataset is 3.403 eV per formula unit. As for the formation energy: 0.397 eV per atom.



5.
Entry from Alexandria via LeMat-Bulk: a geometry-optimized TlCoSe2N structure (GGA-PBE).

```
data_TlCoSe2N
_cell_length_a 5.210
_cell_length_b 5.210
_cell_length_c 3.425
_cell_angle_alpha 90.00
_cell_angle_beta 90.00
_cell_angle_gamma 90.00
_symmetry_space_group_name_H-M 'P 4/m m m'
_symmetry_Int_Tables_number 123
_symmetry_space_group_name_Hall '-P 4 2'
loop_
_atom_site_label
_atom_site_fract_x
_atom_site_fract_y
_atom_site_fract_z
Tl1 0.000 0.000 0.000
Co1 0.500 0.500 0.500
Se1 0.000 0.500 0.500
N1 0.500 0.500 0.000
```

Results
The value obtained for the uncorrected energy is -0.1722 Ha/atom. The calculation puts the total magnetization at 0.0 μB per cell. The energy above the most stable polymorph in this dataset is 0.000 eV per formula unit. The calculation puts the raw formation energy at 0.27 eV per atom.



6.
Entry from Alexandria via LeMat-Bulk: a geometry-optimized ThNpPt2 structure (GGA-PBE).

```
data_ThNpPt2
_cell_length_a 4.1782
_cell_length_b 4.1782
_cell_length_c 19.8450
_cell_angle_alpha 90.00
_cell_angle_beta 90.00
_cell_angle_gamma 120.00
_symmetry_space_group_name_H-M 'R -3 m'
_symmetry_Int_Tables_number 166
_symmetry_space_group_name_Hall '-R 3 2"'
loop_
_atom_site_label
_atom_site_fract_x
_atom_site_fract_y
_atom_site_fract_z
Th1 0.0000 0.0000 0.0000
Np1 0.0000 0.0000 0.5000
Pt1 0.0000 0.0000 0.2464
```

Results
The value obtained for the uncorrected energy is -0.3269 Ha/atom. The calculation puts the total magnetization at 12.1 μB per cell. The energy above the most stable polymorph in this dataset is 0.000 eV per formula unit. As for the formation energy: -0.784 eV per atom.



7.
Entry from Alexandria via LeMat-Bulk: a geometry-optimized Er2MgH structure (GGA-PBE).

```
data_Er2MgH
_cell_length_a 3.5318
_cell_length_b 3.5318
_cell_length_c 24.0154
_cell_angle_alpha 90.00
_cell_angle_beta 90.00
_cell_angle_gamma 120.00
_symmetry_space_group_name_H-M 'R -3 m'
_symmetry_Int_Tables_number 166
_symmetry_space_group_name_Hall '-R 3 2"'
loop_
_atom_site_label
_atom_site_fract_x
_atom_site_fract_y
_atom_site_fract_z
Er1 0.0000 0.0000 0.2226
Mg1 0.0000 0.0000 0.0000
H1 0.0000 0.0000 0.5000
```

Results
The value obtained for the uncorrected energy is -0.1354 Ha/atom. The calculation puts the total magnetization at 0.0 μB per cell.



8.
Entry from Alexandria via LeMat-Bulk: a geometry-optimized Mg2SiPt structure (GGA-PBE).

```
data_Mg2SiPt
_cell_length_a 4.119
_cell_length_b 4.119
_cell_length_c 7.639
_cell_angle_alpha 90.00
_cell_angle_beta 90.00
_cell_angle_gamma 90.00
_symmetry_space_group_name_H-M 'I -4 m 2'
_symmetry_Int_Tables_number 119
_symmetry_space_group_name_Hall 'I -4 -2'
loop_
_atom_site_label
_atom_site_fract_x
_atom_site_fract_y
_atom_site_fract_z
Mg1 0.000 0.000 0.000
Mg2 0.000 0.500 0.250
Si1 0.000 0.000 0.500
Pt1 0.000 0.500 0.750
```

Results
The value obtained for the uncorrected energy is -0.1490 Ha/atom. The calculation puts the total magnetization at 0.0 μB per cell. The calculation puts the raw formation energy at -0.39 eV per atom.



9.
Entry from Alexandria via LeMat-Bulk: a geometry-optimized ZnFeRe3 structure (GGA-PBE).

```
data_ZnFeRe3
_cell_length_a 4.413
_cell_length_b 4.413
_cell_length_c 4.413
_cell_angle_alpha 90.00
_cell_angle_beta 90.00
_cell_angle_gamma 90.00
_symmetry_space_group_name_H-M 'P m -3 m'
_symmetry_Int_Tables_number 221
_symmetry_space_group_name_Hall '-P 4 2 3'
loop_
_atom_site_label
_atom_site_fract_x
_atom_site_fract_y
_atom_site_fract_z
Zn1 0.000 0.000 0.000
Fe1 0.500 0.500 0.500
Re1 0.000 0.500 0.500
```

Results
The value obtained for the uncorrected energy is -0.2880 Ha/atom. The calculation puts the total magnetization at 0.0 μB per cell. The energy above the most stable polymorph in this dataset is 0.000 eV per formula unit. As for the formation energy: 1.581 eV per atom.



10.
Entry from Alexandria via LeMat-Bulk: a geometry-optimized ZnRu2Rh structure (GGA-PBE).

```
data_ZnRu2Rh
_cell_length_a 2.762
_cell_length_b 2.762
_cell_length_c 7.334
_cell_angle_alpha 90.00
_cell_angle_beta 90.00
_cell_angle_gamma 90.00
_symmetry_space_group_name_H-M 'P 4 m m'
_symmetry_Int_Tables_number 99
_symmetry_space_group_name_Hall 'P 4 -2'
loop_
_atom_site_label
_atom_site_fract_x
_atom_site_fract_y
_atom_site_fract_z
Zn1 0.000 0.000 0.000
Ru1 0.000 0.000 0.505
Ru2 0.500 0.500 0.743
Rh1 0.500 0.500 0.247
```

Results
The value obtained for the uncorrected energy is -0.2513 Ha/atom. The calculation puts the total magnetization at 0.0 μB per cell. As for the formation energy: -0.045 eV per atom.



11.
Entry from Alexandria via LeMat-Bulk: a geometry-optimized Li3Ac2Al5 structure (GGA-PBE).

```
data_Li3Ac2Al5
_cell_length_a 12.775
_cell_length_b 12.777
_cell_length_c 6.388
_cell_angle_alpha 90.00
_cell_angle_beta 119.92
_cell_angle_gamma 90.00
_symmetry_space_group_name_H-M 'C 1 2/c 1'
_symmetry_Int_Tables_number 15
_symmetry_space_group_name_Hall '-C 2yc'
loop_
_atom_site_label
_atom_site_fract_x
_atom_site_fract_y
_atom_site_fract_z
Li1 0.000 0.000 0.250
Li2 0.146 0.389 0.146
Ac1 0.236 0.130 0.236
Al1 0.000 0.273 0.250
Al2 0.000 0.273 0.750
Al3 0.000 0.500 0.250
Al4 0.115 0.140 0.616
```

Results
The value obtained for the uncorrected energy is -0.1285 Ha/atom. The calculation puts the total magnetization at 0.0 μB per cell. As for the formation energy: -0.229 eV per atom.



12.
Entry from Alexandria via LeMat-Bulk: a geometry-optimized In5Ga3I12 structure (GGA-PBE).

```
data_In5Ga3I12
_cell_length_a 19.450
_cell_length_b 19.450
_cell_length_c 19.450
_cell_angle_alpha 90.00
_cell_angle_beta 90.00
_cell_angle_gamma 90.00
_symmetry_space_group_name_H-M 'I a -3 d'
_symmetry_Int_Tables_number 230
_symmetry_space_group_name_Hall '-I 4bd 2c 3'
loop_
_atom_site_label
_atom_site_fract_x
_atom_site_fract_y
_atom_site_fract_z
In1 0.000 0.000 0.000
In2 0.000 0.250 0.375
Ga1 0.000 0.250 0.125
I1 0.029 0.067 0.657
```

Results
The value obtained for the uncorrected energy is -0.0884 Ha/atom. The calculation puts the total magnetization at 0.0 μB per cell. The calculation puts the raw formation energy at -0.34 eV per atom.